Here is an optimized crystal structure of MnTcIr2 from Alexandria. Energies are from GGA-PBE.

Properties
DFT formation energy: 0.00 eV per atom
space group: R3m (160)
relative energy among the computed polymorphs: 0.729 eV per formula unit

abc: 8.8687 8.8687 8.8687
angles: 17.64 17.64 17.64
With the nearest neighbours (Å) after each atom.
Positions (direct):
Mn: 0.0000 0.0000 0.0000  3 Ir 2.58, 3 Tc 2.67, 6 Mn 2.72
Tc: 0.2510 0.2510 0.2510  3 Mn 2.67, 3 Ir 2.69, 6 Tc 2.72
Ir: 0.5010 0.5010 0.5010  3 Tc 2.69, 9 Ir 2.72-2.82
Ir: 0.7449 0.7449 0.7449  3 Mn 2.58, 9 Ir 2.72-2.82

=====

Here is an optimized crystal structure of Mn2P from Alexandria. Energies are from GGA-PBE.

Properties
DFT formation energy: -0.26 eV per atom
space group: P3m1 (156)

abc: 3.8684 3.8684 2.6292
angles: 90.00 90.00 120.00
With the nearest neighbours (Å) after each atom.
Positions (direct):
Mn: 0.0000 0.0000 0.0000  3 P 2.23
Mn: 0.3333 0.6667 0.4997  6 P 2.59, 8 Mn 2.59-2.63
P: 0.6667 0.3333 0.9979  3 Mn 2.23

=====

Here is an optimized crystal structure of Nb2ZnCoW from Alexandria. Energies are from GGA-PBE.

Properties
DFT formation energy: 1.72 eV per atom
space group: P4/mmm (123)
relative energy among the computed polymorphs: 1.722 eV per formula unit

abc: 4.7730 4.7730 4.7999
angles: 90.00 90.00 90.00
With the nearest neighbours (Å) after each atom.
Positions (direct):
Nb: 0.0000 0.5000 0.0000  2 W 2.39
Nb: 0.5000 0.0000 0.0000  2 W 2.39
Zn: 0.0000 0.0000 0.5000  2 W 2.40
Co: 0.5000 0.5000 0.5000  4 Zn 3.38, 8 Nb 3.38
W: 0.0000 0.0000 0.0000  4 Nb 2.39, 2 Zn 2.40

=====

Here is an optimized crystal structure of Te4As from Alexandria. Energies are from GGA-PBE.

Properties
space group: Im-3m (229)
relative energy among the computed polymorphs: 0.352 eV per formula unit
formation energy from raw total energies: 311 meV per atom

abc: 5.9103 5.9103 5.9103
angles: 109.47 109.47 109.47
With the nearest neighbours (Å) after each atom.
Positions (direct):
Te: 0.0000 0.0000 0.5000  2 As 2.96
Te: 0.0000 0.5000 0.0000  2 As 2.96
Te: 0.5000 0.0000 0.0000  2 As 2.96
Te: 0.5000 0.5000 0.5000  2 As 2.96
As: 0.0000 0.0000 0.0000  8 Te 2.96

=====

Here is an optimized crystal structure of Ta3NbAg from Alexandria. Energies are from GGA-PBE.

Properties
DFT formation energy: 2.02 eV per atom
space group: Pm-3m (221)
relative energy among the computed polymorphs: 1.623 eV per formula unit

abc: 4.8505 4.8505 4.8505
angles: 90.00 90.00 90.00
With the nearest neighbours (Å) after each atom.
Positions (direct):
Ta: 0.0000 0.0000 0.5000  2 Ag 2.43
Ta: 0.0000 0.5000 0.0000  2 Ag 2.43
Ta: 0.5000 0.0000 0.0000  2 Ag 2.43
Nb: 0.5000 0.5000 0.5000  12 Ta 3.43
Ag: 0.0000 0.0000 0.0000  6 Ta 2.43

=====

Here is an optimized crystal structure of SrOsO2 from Alexandria. Energies are from GGA-PBE.

Properties
space group: I4_1/amd (141)
relative energy among the computed polymorphs: 0.088 eV per formula unit
formation energy from raw total energies: -1131 meV per atom

abc: 7.5867 7.5867 7.5867
angles: 131.23 131.23 71.45
With the nearest neighbours (Å) after each atom.
Positions (direct):
Sr: 0.0000 0.0000 0.0000  6 O 2.52-2.53
Sr: 0.0000 0.0000 0.5000  6 O 2.52-2.53
Sr: 0.0000 0.5000 0.0000  6 O 2.52-2.53
Sr: 0.5000 0.0000 0.5000  6 O 2.52-2.53
Os: 0.0000 0.5000 0.5000  4 O 2.08
Os: 0.5000 0.0000 0.0000  4 O 2.08
Os: 0.5000 0.5000 0.0000  4 O 2.08
Os: 0.5000 0.5000 0.5000  4 O 2.08
O: 0.2040 0.2556 0.5515  2 Os 2.08
O: 0.2040 0.6525 0.9485  2 Os 2.08
O: 0.2556 0.2040 0.0515  2 Os 2.08
O: 0.3475 0.7960 0.5515  2 Os 2.08
O: 0.6525 0.2040 0.4485  2 Os 2.08
O: 0.7444 0.7960 0.9485  2 Os 2.08
O: 0.7960 0.3475 0.0515  2 Os 2.08
O: 0.7960 0.7444 0.4485  2 Os 2.08

=====

Here is an optimized crystal structure of K4Nd3TiO8 from Alexandria. Energies are from GGA-PBE.

Properties
space group: R-3m (166)
formation energy from raw total energies: -2458 meV per atom

abc: 7.4688 7.4688 7.4688
angles: 56.33 56.33 56.33
With the nearest neighbours (Å) after each atom.
Positions (direct):
K: 0.0000 0.0000 0.0000  6 O 2.96
K: 0.0000 0.5000 0.5000  6 O 2.78-2.79
K: 0.5000 0.0000 0.5000  6 O 2.78-2.79
K: 0.5000 0.5000 0.0000  6 O 2.78-2.79
Nd: 0.0000 0.0000 0.5000  6 O 2.38-2.41
Nd: 0.0000 0.5000 0.0000  6 O 2.38-2.41
Nd: 0.5000 0.0000 0.0000  6 O 2.38-2.41
Ti: 0.5000 0.5000 0.5000  6 O 2.19
O: 0.2325 0.2325 0.2325  3 Nd 2.38
O: 0.2545 0.7142 0.7142  1 Ti 2.19, 2 Nd 2.41
O: 0.2858 0.2858 0.7455  1 Ti 2.19, 2 Nd 2.41
O: 0.2858 0.7455 0.2858  1 Ti 2.19, 2 Nd 2.41
O: 0.7142 0.2545 0.7142  1 Ti 2.19, 2 Nd 2.41
O: 0.7142 0.7142 0.2545  1 Ti 2.19, 2 Nd 2.41
O: 0.7455 0.2858 0.2858  1 Ti 2.19, 2 Nd 2.41
O: 0.7675 0.7675 0.7675  3 Nd 2.38

=====

Here is an optimized crystal structure of Nd14YTh from Alexandria. Energies are from GGA-PBE.

Properties
DFT formation energy: 0.02 eV per atom
space group: P4/mmm (123)

abc: 7.3254 7.3254 10.4123
angles: 90.00 90.00 90.00
With the nearest neighbours (Å) after each atom.
Positions (direct):
Nd: 0.0000 0.0000 0.0000  12 Nd 3.66-3.68
Nd: 0.0000 0.5000 0.0000  12 Nd 3.66-3.70
Nd: 0.0000 0.5000 0.5000  8 Nd 3.65, 2 Y 3.66, 2 Th 3.66
Nd: 0.2476 0.2476 0.2532  10 Nd 3.63-3.71, 1 Th 3.63, 1 Y 3.67
Nd: 0.2476 0.2476 0.7468  10 Nd 3.63-3.71, 1 Th 3.63, 1 Y 3.67
Nd: 0.2476 0.7524 0.2532  10 Nd 3.63-3.71, 1 Th 3.63, 1 Y 3.67
Nd: 0.2476 0.7524 0.7468  10 Nd 3.63-3.71, 1 Th 3.63, 1 Y 3.67
Nd: 0.5000 0.0000 0.0000  12 Nd 3.66-3.70
Nd: 0.5000 0.0000 0.5000  8 Nd 3.65, 2 Y 3.66, 2 Th 3.66
Nd: 0.5000 0.5000 0.0000  12 Nd 3.66-3.71
Nd: 0.7524 0.2476 0.2532  10 Nd 3.63-3.71, 1 Th 3.63, 1 Y 3.67
Nd: 0.7524 0.2476 0.7468  10 Nd 3.63-3.71, 1 Th 3.63, 1 Y 3.67
Nd: 0.7524 0.7524 0.2532  10 Nd 3.63-3.71, 1 Th 3.63, 1 Y 3.67
Nd: 0.7524 0.7524 0.7468  10 Nd 3.63-3.71, 1 Th 3.63, 1 Y 3.67
Y: 0.5000 0.5000 0.5000  12 Nd 3.66-3.67
Th: 0.0000 0.0000 0.5000  12 Nd 3.63-3.66

=====

Here is an optimized crystal structure of SnOs3Cl from Alexandria. Energies are from GGA-PBE.

Properties
space group: Pm-3m (221)
relative energy among the computed polymorphs: 0.000 eV per formula unit
formation energy from raw total energies: 1888 meV per atom

abc: 4.4379 4.4379 4.4379
angles: 90.00 90.00 90.00
With the nearest neighbours (Å) after each atom.
Positions (direct):
Sn: 0.0000 0.0000 0.0000  12 Os 3.14
Os: 0.0000 0.5000 0.5000  2 Cl 2.22
Os: 0.5000 0.0000 0.5000  2 Cl 2.22
Os: 0.5000 0.5000 0.0000  2 Cl 2.22
Cl: 0.5000 0.5000 0.5000  6 Os 2.22

=====

Here is an optimized crystal structure of K2Nb2P from Alexandria. Energies are from GGA-PBE.

Properties
DFT formation energy: 1.17 eV per atom
space group: I4/mmm (139)
relative energy among the computed polymorphs: 3.786 eV per formula unit

abc: 8.9472 8.9472 8.9472
angles: 155.85 155.85 34.41
With the nearest neighbours (Å) after each atom.
Positions (direct):
K: 0.2500 0.7500 0.5000  4 K 2.65
K: 0.7500 0.2500 0.5000  4 K 2.65
Nb: 0.0671 0.0671 0.0000  1 Nb 2.29
Nb: 0.9329 0.9329 0.0000  1 Nb 2.29
P: 0.5000 0.5000 0.0000  8 Nb 2.88

=====

Here is an optimized crystal structure of ZrScAs from Alexandria. Energies are from GGA-PBE.

Properties
DFT formation energy: -0.42 eV per atom
space group: P3m1 (156)

abc: 4.4150 4.4150 3.8483
angles: 90.00 90.00 120.00
With the nearest neighbours (Å) after each atom.
Positions (direct):
Zr: 0.0000 0.0000 0.0000  3 As 2.72
Sc: 0.6667 0.3333 0.4923  3 As 2.72
As: 0.3333 0.6667 0.2455  3 Zr 2.72, 3 Sc 2.72

=====

Here is an optimized crystal structure of Na3HfRu from Alexandria. Energies are from GGA-PBE.

Properties
DFT formation energy: 1.67 eV per atom
space group: Pm-3m (221)

abc: 5.1616 5.1616 5.1616
angles: 90.00 90.00 90.00
With the nearest neighbours (Å) after each atom.
Positions (direct):
Na: 0.0000 0.0000 0.5000  2 Ru 2.58
Na: 0.0000 0.5000 0.0000  2 Ru 2.58
Na: 0.5000 0.0000 0.0000  2 Ru 2.58
Hf: 0.5000 0.5000 0.5000  12 Na 3.65
Ru: 0.0000 0.0000 0.0000  6 Na 2.58

=====

Here is an optimized crystal structure of AuNClO2 from Alexandria. Energies are from GGA-PBE.

Properties
space group: P4/mmm (123)
formation energy from raw total energies: 1450 meV per atom

abc: 4.1330 4.1330 4.2054
angles: 90.00 90.00 90.00
With the nearest neighbours (Å) after each atom.
Positions (direct):
Au: 0.0000 0.0000 0.0000  4 O 2.07, 2 N 2.10
N: 0.0000 0.0000 0.5000  2 Au 2.10
Cl: 0.5000 0.5000 0.5000  4 N 2.92, 8 O 2.95
O: 0.0000 0.5000 0.0000  2 Au 2.07
O: 0.5000 0.0000 0.0000  2 Au 2.07